K2HgRhC: relaxed, GGA-PBE.

E: -11.8 eV per formula unit

a = 6.045 Å, b = 6.045 Å, c = 5.206 Å
α = 90.00°, β = 90.00°, γ = 90.00°
Sites, in units of the cell vectors:
K 0.000 0.500 0.000
K 0.500 0.000 0.000
Hg 0.000 0.000 0.500
Rh 0.000 0.000 0.000
C 0.500 0.500 0.500



LiSiAg4: relaxed, GGA-PBE.

energy above the lowest structure with this stoichiometry: 154 meV per atom
ΔE_f (raw): 220 meV per atom

a = 5.460 Å, b = 5.460 Å, c = 5.460 Å
α = 60.00°, β = 60.00°, γ = 60.00°
Sites, in units of the cell vectors:
Li 0.000 0.000 0.000
Si 0.750 0.750 0.750
Ag 0.375 0.375 0.375
Ag 0.375 0.375 0.875
Ag 0.375 0.875 0.375
Ag 0.875 0.375 0.375



no.,calculated volume (A^3/atom)
1,38.04
2,19.18